Arrangement A

SiSnI2N | PBE-GGA | relaxed

## Properties
Magnetization (μB per atom): 0.000
Crystal system: tetragonal
Calculated density (g/cm3): 5.5

Geometry as POSCAR:
```
SiSnI2N
1.0
6.032 0.000 0.000
0.000 6.032 0.000
0.000 0.000 3.426
Si Sn I N
1 1 2 1
Direct
0.000 0.000 0.000
0.500 0.500 0.500
0.000 0.500 0.000
0.500 0.000 0.000
0.000 0.000 0.500
```

=====

Arrangement B

SiSnI2N | PBE-GGA | relaxed

## Properties
Magnetization (μB per atom): 0.103
Crystal system: tetragonal
Calculated density (g/cm3): 4.8

Geometry as POSCAR:
```
SiSnI2N
1.0
6.114 0.000 0.000
0.000 6.114 0.000
0.000 0.000 3.871
Si Sn I N
1 1 2 1
Direct
0.000 0.000 0.000
0.500 0.500 0.500
0.000 0.500 0.500
0.500 0.000 0.500
0.500 0.500 0.000
```

=====

Which structure is the least stable? The one labeled arrangement B.

=====

Arrangement A

SiSnIN2 | PBE-GGA | relaxed

## Properties
Magnetization (μB per atom): 0.123
Crystal system: tetragonal
Calculated density (g/cm3): 5.9

Geometry as POSCAR:
```
SiSnIN2
1.0
3.984 0.000 0.000
0.000 3.984 0.000
0.000 0.000 5.378
Si Sn I N
1 1 1 2
Direct
0.000 0.000 0.000
0.500 0.500 0.500
0.000 0.000 0.500
0.000 0.500 0.000
0.500 0.000 0.000
```

=====

Arrangement B

SiSnIN2 | PBE-GGA | relaxed

## Properties
Magnetization (μB per atom): 0.188
Crystal system: tetragonal
Calculated density (g/cm3): 4.6

Geometry as POSCAR:
```
SiSnIN2
1.0
4.149 0.000 0.000
0.000 4.149 0.000
0.000 0.000 6.268
Si Sn I N
1 1 1 2
Direct
0.000 0.000 0.000
0.500 0.500 0.500
0.500 0.500 0.000
0.000 0.500 0.500
0.500 0.000 0.500
```

=====

Which structure is the least stable? The one labeled arrangement B.

=====

Arrangement A

SrSiIN2 | PBE-GGA | relaxed

## Properties
Magnetization (μB per atom): 0.006
Crystal system: tetragonal
Calculated density (g/cm3): 3.5

Geometry as POSCAR:
```
SrSiIN2
1.0
4.485 0.000 0.000
0.000 4.485 0.000
0.000 0.000 6.358
Sr Si I N
1 1 1 2
Direct
0.000 0.000 0.000
0.500 0.500 0.500
0.000 0.000 0.500
0.000 0.500 0.000
0.500 0.000 0.000
```

=====

Arrangement B

SrSiIN2 | PBE-GGA | relaxed

## Properties
Magnetization (μB per atom): 0.132
Crystal system: tetragonal
Calculated density (g/cm3): 5.0

Geometry as POSCAR:
```
SrSiIN2
1.0
4.072 0.000 0.000
0.000 4.072 0.000
0.000 0.000 5.469
Sr Si I N
1 1 1 2
Direct
0.000 0.000 0.000
0.500 0.500 0.500
0.500 0.500 0.000
0.000 0.500 0.500
0.500 0.000 0.500
```

=====

Which structure is the least stable? The one labeled arrangement A.